[1]
{"formula": "Ca2AgHg", "functional": "PBE", "state": "optimized geometry", "cell": [[3.746, 0.000, 0.000], [0.000, 3.748, 0.000], [0.000, 0.000, 7.506]], "species": ["Ca", "Ca", "Ag", "Hg"], "fractional_positions": [[0.000, 0.000, 0.997], [0.000, 0.000, 0.503], [0.500, 0.500, 0.750], [0.500, 0.500, 0.250]], "spacegroup": "P4/mmm (123)", "delta_e_f_ev_per_atom": -0.43, "mass_density_kg_m3": 6123}


[2]
{"formula": "Ca2Ag2Hg", "functional": "PBE", "state": "optimized geometry", "cell": [[5.818, 0.000, 0.000], [0.000, 5.818, 0.000], [2.909, 2.909, 4.108]], "species": ["Ag", "Ag", "Hg", "Ca", "Ca"], "fractional_positions": [[0.341, 0.341, 0.317], [0.659, 0.659, 0.683], [0.000, 0.000, 0.000], [0.250, 0.750, 0.500], [0.750, 0.250, 0.500]], "spacegroup": "I4/mmm (139)", "de_polymorph_kcal_per_mol_atoms": 3.52, "delta_e_f_ev_per_atom": -0.20, "mass_density_kg_m3": 5930}


[3]
{"formula": "CaAg3Hg", "functional": "PBE", "state": "optimized geometry", "cell": [[5.233, 0.000, 0.000], [0.000, 5.233, 0.000], [0.000, 0.000, 5.233]], "species": ["Ca", "Ag", "Ag", "Ag", "Hg"], "fractional_positions": [[0.500, 0.500, 0.500], [0.000, 0.000, 0.500], [0.000, 0.500, 0.000], [0.500, 0.000, 0.000], [0.000, 0.000, 0.000]], "spacegroup": "Pm-3m (221)", "de_polymorph_kcal_per_mol_atoms": 8.90, "delta_e_f_ev_per_atom": 0.22, "mass_density_kg_m3": 6538}


[4]
{"formula": "Ca4AgHg5", "functional": "PBE", "state": "optimized geometry", "cell": [[4.977, 0.000, -1.706], [-0.564, 6.218, -1.646], [0.104, 0.056, 8.417]], "species": ["Hg", "Hg", "Hg", "Hg", "Hg", "Ca", "Ca", "Ca", "Ca", "Ag"], "fractional_positions": [[0.711, 0.827, 0.423], [0.500, 0.500, 0.000], [0.289, 0.173, 0.577], [0.104, 0.376, 0.208], [0.896, 0.624, 0.792], [0.906, 0.143, 0.812], [0.094, 0.857, 0.188], [0.690, 0.310, 0.381], [0.310, 0.690, 0.619], [0.500, 0.000, 0.000]], "spacegroup": "C2/m (12)", "delta_e_f_ev_per_atom": -0.43, "mass_density_kg_m3": 8053}